Here is Cs2NbTl2 after structural relaxation from the Alexandria database. Energies are from GGA-PBE.

It has space group I4/mmm (No. 139), with a = 4.763 Å, b = 4.763 Å, c = 17.238 Å, α = 90.00°, β = 90.00° and γ = 90.00°. Symmetry generates all atoms from Cs at (0.000, 0.500, 0.250), Nb at (0.000, 0.000, 0.000) and Tl at (0.000, 0.000, 0.416).

As for the crystal system: tetragonal. The calculation puts the formation enthalpy at 0 K at 1.039 eV per atom.